[1]
The following is a DFT calculation (PBE) of a relaxed BaCa3 crystal.

## Properties
Crystal system: hexagonal
SG: P6_3/mmc (194)
DFT formation energy (meV/atom): 32
DFT total energy (eV per atom): -1.950

The structure in POSCAR format:
```
BaCa3
1.0
8.1201 0.0000 0.0000
-4.0601 7.0323 0.0000
0.0000 0.0000 19.8539
Ca Ba
18 6
direct
0.8331 0.1669 0.3330
0.4964 0.9929 0.0000
0.3339 0.1669 0.6670
0.6661 0.8331 0.1670
0.4964 0.5036 0.0000
0.1669 0.3339 0.8330
0.0071 0.5036 0.0000
0.1669 0.3339 0.1670
0.8331 0.6661 0.6670
0.9929 0.4964 0.5000
0.8331 0.6661 0.3330
0.6661 0.8331 0.8330
0.8331 0.1669 0.6670
0.5036 0.4964 0.5000
0.1669 0.8331 0.1670
0.5036 0.0071 0.5000
0.3339 0.1669 0.3330
0.1669 0.8331 0.8330
0.6667 0.3333 0.8345
0.0000 0.0000 0.0000
0.0000 0.0000 0.5000
0.6667 0.3333 0.1655
0.3333 0.6667 0.6655
0.3333 0.6667 0.3345
```

---

[2]
The following is a DFT calculation (PBE) of a relaxed Ba2Ca13 crystal.

## Properties
Crystal system: trigonal
SG: R-3m (166)
DFT formation energy (meV/atom): 355
DFT total energy (eV per atom): -1.636

The structure in POSCAR format:
```
Ba2Ca13
1.0
10.0699 0.0000 0.0000
5.0350 8.7208 0.0000
5.0350 2.9069 9.4417
Ba Ca
2 13
direct
0.6288 0.6288 0.1136
0.3712 0.3712 0.8864
0.6219 0.9912 0.7650
0.1327 0.7445 0.3782
0.2555 0.2555 0.6218
0.7445 0.7445 0.3782
0.2555 0.8673 0.6218
0.6219 0.6219 0.7650
0.9912 0.6219 0.7650
0.8673 0.2555 0.6218
0.3781 0.3781 0.2350
0.0088 0.3781 0.2350
0.7445 0.1327 0.3782
0.5000 0.5000 0.5000
0.3781 0.0088 0.2350
```